## Fe2H4O2F5 (GGA+U)

Data for a geometry-optimized Fe2H4O2F5 structure.

Results
Its calculated volume is 10.7 Å³/atom. The calculation puts the mass density at 2.89 g cm⁻³. As for the space group: Imma. The total energy comes out at -5.201 eV per atom.

Structure (POSCAR):
```
Fe2H4O2F5
1.0
-0.620 -5.449 5.126
2.446 -5.536 -4.441
3.541 6.367 1.809
Fe H O F
4 8 4 10
Direct
0.500 0.500 0.000
0.000 0.000 0.000
0.500 0.000 0.000
0.000 0.000 0.500
0.515 0.792 0.484
0.693 0.208 0.724
0.985 0.469 0.276
0.807 0.531 0.516
0.193 0.469 0.484
0.015 0.531 0.724
0.307 0.792 0.276
0.485 0.208 0.516
0.565 0.263 0.699
0.065 0.366 0.301
0.935 0.634 0.699
0.435 0.737 0.301
0.580 0.327 0.158
0.831 0.673 0.253
0.669 0.922 0.842
0.920 0.078 0.747
0.750 0.083 0.333
0.250 0.917 0.667
0.080 0.922 0.253
0.331 0.078 0.158
0.169 0.327 0.747
0.420 0.673 0.842
```